[1]
NdMoOs | PBE-GGA | relaxed

```
3
Lattice="0.000 3.235 3.235 3.235 0.000 3.235 3.235 3.235 0.000" Properties=species:S:1:pos:R:3 pbc="T T T"
Nd 0.000 0.000 0.000
Mo 4.853 4.853 4.853
Os 1.618 1.618 1.618
```

***

[2]
NdPaMo | PBE-GGA | relaxed

```
3
Lattice="0.000 3.444 3.444 3.444 0.000 3.444 3.444 3.444 0.000" Properties=species:S:1:pos:R:3 pbc="T T T"
Nd 0.000 0.000 0.000
Pa 3.444 3.444 3.444
Mo 1.722 1.722 1.722
```

***

no.,energy relative to the elements (eV per formula unit),total DFT energy (no corrections) (eV per atom)
1,5.34,-7.1655
2,1.77,-7.7797